[1]
DFT (PBE) results for crystalline K2CeGe2O6 at its relaxed geometry.

Structure (POSCAR):
```
K2CeGe2O6
1.0
5.1605 -3.0367 0.0000
5.1605 3.0367 0.0000
-3.7718 0.0000 6.0081
K Ce Ge O
2 1 2 6
direct
0.2103 0.2103 0.1870
0.7897 0.7897 0.8130
0.0000 0.0000 0.5000
0.4556 0.4556 0.8016
0.5444 0.5444 0.1984
0.2263 0.7081 0.2481
0.2523 0.2523 0.6322
0.2919 0.7737 0.7519
0.7081 0.2263 0.2481
0.7477 0.7477 0.3678
0.7737 0.2919 0.7519
```

Symmetry = No. 12

=====

[2]
DFT (PBE) results for crystalline NdHoBi2 at its relaxed geometry.

Structure (POSCAR):
```
NdHoBi2
1.0
4.5041 0.0000 0.0000
-2.2521 3.9007 0.0000
0.0000 0.0000 23.1205
Nd Ho Bi
3 3 6
direct
0.0000 0.0000 0.0000
0.3333 0.6667 0.6667
0.6667 0.3333 0.3333
0.0000 0.0000 0.1708
0.3333 0.6667 0.8374
0.6667 0.3333 0.5041
0.0000 0.0000 0.4204
0.0000 0.0000 0.5839
0.3333 0.6667 0.0870
0.3333 0.6667 0.2506
0.6667 0.3333 0.7537
0.6667 0.3333 0.9173
```

DOS(E_F) = 1.427 states/eV/cell
Symmetry = No. 160
Calculated formation energy = -3.11 eV/f.u.
Energy above the most stable polymorph in this dataset = 114 meV per atom

=====

[3]
DFT (PBE) results for crystalline SrCu3P3 at its relaxed geometry.

Structure (POSCAR):
```
SrCu3P3
1.0
6.4109 0.0000 0.0000
0.0000 6.4109 0.0000
0.0000 0.0000 6.4109
Sr Cu P
2 6 6
direct
0.0000 0.0000 0.0000
0.5000 0.5000 0.5000
0.0000 0.2500 0.5000
0.0000 0.7500 0.5000
0.2500 0.5000 0.0000
0.5000 0.0000 0.2500
0.5000 0.0000 0.7500
0.7500 0.5000 0.0000
0.0000 0.5000 0.2500
0.0000 0.5000 0.7500
0.2500 0.0000 0.5000
0.5000 0.2500 0.0000
0.5000 0.7500 0.0000
0.7500 0.0000 0.5000
```

DOS(E_F) = 8.117 states/eV/cell
Symmetry = No. 223
Calculated formation energy = -2.15 eV/f.u.

=====

[4]
DFT (PBE) results for crystalline Ho2ErTm3Te6 at its relaxed geometry.

Structure (POSCAR):
```
Ho2ErTm3Te6
1.0
9.4233 -2.1469 0.0000
9.4233 2.1469 0.0000
-2.0844 0.0000 8.4200
Ho Er Tm Te
2 1 3 6
direct
0.1674 0.1674 0.3338
0.8326 0.8326 0.6662
0.5000 0.5000 0.0000
0.1675 0.1675 0.8327
0.5000 0.5000 0.5000
0.8325 0.8325 0.1673
0.0008 0.0008 0.7492
0.3334 0.3334 0.9195
0.3344 0.3344 0.4154
0.6656 0.6656 0.5846
0.6666 0.6666 0.0805
0.9992 0.9992 0.2508
```

DOS(E_F) = 6.232 states/eV/cell
Symmetry = No. 12

=====

[5]
DFT (PBE) results for crystalline Sm4DyHoEr2 at its relaxed geometry.

Structure (POSCAR):
```
Sm4DyHoEr2
1.0
5.0559 0.0000 0.0000
0.0000 5.0714 0.0000
0.0000 0.0000 10.0505
Sm Dy Ho Er
4 1 1 2
direct
0.0000 0.0000 0.2501
0.0000 0.0000 0.7499
0.5000 0.5000 0.2504
0.5000 0.5000 0.7496
0.0000 0.5000 0.0000
0.5000 0.0000 0.5000
0.0000 0.5000 0.5000
0.5000 0.0000 0.0000
```

DOS(E_F) = 10.943 states/eV/cell
Symmetry = No. 47
Calculated formation energy = 0.13 eV/f.u.

=====

[6]
DFT (PBE) results for crystalline ZrScGe2As at its relaxed geometry.

Structure (POSCAR):
```
ZrScGe2As
1.0
5.0908 0.0000 0.0000
0.0000 5.0908 0.0000
0.0000 0.0000 5.1215
Zr Sc Ge As
1 1 2 1
direct
0.0000 0.0000 0.0000
0.5000 0.5000 0.5000
0.0000 0.5000 0.0000
0.5000 0.0000 0.0000
0.0000 0.0000 0.5000
```

DOS(E_F) = 4.845 states/eV/cell
Symmetry = No. 123
Calculated formation energy = 1.11 eV/f.u.
Energy above the most stable polymorph in this dataset = 0 meV per atom

=====

Number 1: volume 17.12 Å³/atom, raw total energy -6.43 eV/atom. Number 2: volume 33.85 Å³/atom, raw total energy -5.05 eV/atom. Number 3: volume 18.82 Å³/atom, raw total energy -4.62 eV/atom. Number 4: volume 28.39 Å³/atom, raw total energy -5.03 eV/atom. Number 5: volume 32.21 Å³/atom, raw total energy -4.63 eV/atom. Number 6: volume 26.55 Å³/atom, raw total energy -5.53 eV/atom.